# Rb2SbS PBE relaxed
# * size of the total moment: 0.000 μB/atom
# * total DFT energy (no corrections): -2.97 eV per atom
# * polymorph energy (0 for the lowest one): 0 meV per atom
data_Rb2SbS
_space_group_name_H-M_alt 'I -4 2 d'
_space_group_IT_number 122
_space_group_name_Hall 'I -4 2bw'
_cell_length_a 12.353
_cell_length_b 12.353
_cell_length_c 5.413
_cell_angle_alpha 90.00
_cell_angle_beta 90.00
_cell_angle_gamma 90.00
loop_
_atom_site_label
_atom_site_fract_x
_atom_site_fract_y
_atom_site_fract_z
Rb1 0.056 0.250 0.125
Sb1 0.000 0.000 0.500
S1 0.000 0.000 0.000



# PrY2Pt PBE relaxed
# * size of the total moment: 0.000 μB/atom
# * total DFT energy (no corrections): -6.53 eV per atom
# * polymorph energy (0 for the lowest one): 77 meV per atom
data_PrY2Pt
_space_group_name_H-M_alt 'P 4/m m m'
_space_group_IT_number 123
_space_group_name_Hall '-P 4 2'
_cell_length_a 3.575
_cell_length_b 3.575
_cell_length_c 8.774
_cell_angle_alpha 90.00
_cell_angle_beta 90.00
_cell_angle_gamma 90.00
loop_
_atom_site_label
_atom_site_fract_x
_atom_site_fract_y
_atom_site_fract_z
Pr1 0.000 0.000 0.000
Y1 0.500 0.500 0.312
Pt1 0.000 0.000 0.500



# KWI2 PBE relaxed
# * size of the total moment: 0.001 μB/atom
# * total DFT energy (no corrections): -3.80 eV per atom
# * polymorph energy (0 for the lowest one): 0 meV per atom
data_KWI2
_space_group_name_H-M_alt 'I -4 2 d'
_space_group_IT_number 122
_space_group_name_Hall 'I -4 2bw'
_cell_length_a 8.828
_cell_length_b 8.828
_cell_length_c 7.442
_cell_angle_alpha 90.00
_cell_angle_beta 90.00
_cell_angle_gamma 90.00
loop_
_atom_site_label
_atom_site_fract_x
_atom_site_fract_y
_atom_site_fract_z
K1 0.000 0.000 0.000
W1 0.000 0.000 0.500
I1 0.132 0.750 0.625



# ZrFe2Br PBE relaxed
# * size of the total moment: 1.266 μB/atom
# * total DFT energy (no corrections): -6.39 eV per atom
# * polymorph energy (0 for the lowest one): 392 meV per atom
data_ZrFe2Br
_space_group_name_H-M_alt 'C m m m'
_space_group_IT_number 65
_space_group_name_Hall '-C 2 2'
_cell_length_a 3.714
_cell_length_b 5.021
_cell_length_c 7.881
_cell_angle_alpha 90.00
_cell_angle_beta 90.00
_cell_angle_gamma 90.00
loop_
_atom_site_label
_atom_site_fract_x
_atom_site_fract_y
_atom_site_fract_z
Zr1 0.000 0.000 0.000
Fe1 0.000 0.500 0.250
Br1 0.000 0.000 0.500



# La2Ag5Pd PBE relaxed
# * size of the total moment: 0.000 μB/atom
# * total DFT energy (no corrections): -3.94 eV per atom
data_La2Ag5Pd
_space_group_name_H-M_alt 'C m c m'
_space_group_IT_number 63
_space_group_name_Hall '-C 2c 2'
_cell_length_a 4.311
_cell_length_b 17.380
_cell_length_c 10.004
_cell_angle_alpha 90.00
_cell_angle_beta 90.00
_cell_angle_gamma 90.00
loop_
_atom_site_label
_atom_site_fract_x
_atom_site_fract_y
_atom_site_fract_z
La1 0.000 0.000 0.000
La2 0.000 0.183 0.250
Ag1 0.000 0.199 0.610
Ag2 0.000 0.360 0.525
Ag3 0.000 0.392 0.250
Pd1 0.000 0.450 0.750



# Mg2BeFe PBE relaxed
# * size of the total moment: 0.470 μB/atom
# * total DFT energy (no corrections): -3.46 eV per atom
data_Mg2BeFe
_space_group_name_H-M_alt 'I 4/m m m'
_space_group_IT_number 139
_space_group_name_Hall '-I 4 2'
_cell_length_a 3.913
_cell_length_b 3.913
_cell_length_c 7.661
_cell_angle_alpha 90.00
_cell_angle_beta 90.00
_cell_angle_gamma 90.00
loop_
_atom_site_label
_atom_site_fract_x
_atom_site_fract_y
_atom_site_fract_z
Mg1 0.000 0.500 0.250
Be1 0.000 0.000 0.000
Fe1 0.000 0.000 0.500



# NpZn2Cu2O6 PBE relaxed
# * size of the total moment: 0.084 μB/atom
# * total DFT energy (no corrections): -6.34 eV per atom
data_NpZn2Cu2O6
_space_group_name_H-M_alt 'P -3'
_space_group_IT_number 147
_space_group_name_Hall '-P 3'
_cell_length_a 5.5474
_cell_length_b 5.5474
_cell_length_c 5.5416
_cell_angle_alpha 90.00
_cell_angle_beta 90.00
_cell_angle_gamma 120.00
loop_
_atom_site_label
_atom_site_fract_x
_atom_site_fract_y
_atom_site_fract_z
Np1 0.0000 0.0000 0.0000
Zn1 0.3333 0.6667 0.7103
Cu1 0.3333 0.6667 0.2394
O1 0.0049 0.6918 0.7773



# Sc2MnCr PBE relaxed
# * size of the total moment: 0.000 μB/atom
# * total DFT energy (no corrections): -7.07 eV per atom
# * polymorph energy (0 for the lowest one): 724 meV per atom
data_Sc2MnCr
_space_group_name_H-M_alt 'R -3 m'
_space_group_IT_number 166
_space_group_name_Hall '-R 3 2"'
_cell_length_a 2.8613
_cell_length_b 2.8613
_cell_length_c 27.9269
_cell_angle_alpha 90.00
_cell_angle_beta 90.00
_cell_angle_gamma 120.00
loop_
_atom_site_label
_atom_site_fract_x
_atom_site_fract_y
_atom_site_fract_z
Sc1 0.0000 0.0000 0.0865
Mn1 0.0000 0.0000 0.0000
Cr1 0.0000 0.0000 0.5000